The following is a PBE calculation of a relaxed Hf4Sc2Si3N2 crystal, from Alexandria via LeMat-Bulk.

Unit cell a=11.1948 b=11.1948 c=11.1948 alpha=157.98 beta=157.98 gamma=31.35
Positions (direct):
1 Hf 0.0803 0.5803 0.5000
2 Hf 0.4197 0.9197 0.5000
3 Hf 0.5803 0.0803 0.5000
4 Hf 0.9197 0.4197 0.5000
5 Sc 0.1958 0.1958 0.0000
6 Sc 0.8042 0.8042 0.0000
7 Si 0.3247 0.3247 0.0000
8 Si 0.5000 0.5000 0.0000
9 Si 0.6753 0.6753 0.0000
10 N 0.0944 0.0944 0.0000
11 N 0.9056 0.9056 0.0000

Summary:
Space group: I4/mmm
Formation energy without anion corrections (eV/f.u.): -10.2


The following is a PBE calculation of a relaxed HfScSnN2 crystal, from Alexandria via LeMat-Bulk.

Unit cell a=4.1784 b=4.1784 c=5.6956 alpha=90.00 beta=90.00 gamma=90.00
Positions (direct):
1 Hf 0.0000 0.0000 0.0000
2 Sc 0.5000 0.5000 0.5000
3 Sn 0.0000 0.0000 0.5000
4 N 0.0000 0.5000 0.0000
5 N 0.5000 0.0000 0.0000

Summary:
Space group: P4/mmm
Formation energy without anion corrections (eV/f.u.): 1.0


The following is a PBE calculation of a relaxed Hf2Sc2Sn2N crystal, from Alexandria via LeMat-Bulk.

Unit cell a=8.1709 b=8.1709 c=8.1709 alpha=148.96 beta=148.96 gamma=44.47
Positions (direct):
1 Hf 0.0000 0.5000 0.5000
2 Hf 0.5000 0.0000 0.5000
3 Sc 0.1550 0.1550 0.0000
4 Sc 0.8450 0.8450 0.0000
5 Sn 0.3542 0.3542 0.0000
6 Sn 0.6458 0.6458 0.0000
7 N 0.0000 0.0000 0.0000

Summary:
Space group: I4/mmm
Formation energy without anion corrections (eV/f.u.): -6.2


The following is a PBE calculation of a relaxed SrHfScN3 crystal, from Alexandria via LeMat-Bulk.

Unit cell a=6.9387 b=3.3043 c=9.2009 alpha=90.00 beta=94.66 gamma=90.00
Positions (direct):
1 Sr 0.1511 0.2500 0.2108
2 Sr 0.8489 0.7500 0.7892
3 Hf 0.3655 0.7500 0.8879
4 Hf 0.6345 0.2500 0.1121
5 Sc 0.1533 0.2500 0.5780
6 Sc 0.8467 0.7500 0.4220
7 N 0.1532 0.7500 0.4439
8 N 0.1801 0.2500 0.8178
9 N 0.4058 0.7500 0.1080
10 N 0.5942 0.2500 0.8920
11 N 0.8199 0.7500 0.1822
12 N 0.8468 0.2500 0.5561

Summary:
Space group: P2_1/m
Formation energy without anion corrections (eV/f.u.): -8.0


The following is a PBE calculation of a relaxed SrHfScN2 crystal, from Alexandria via LeMat-Bulk.

Unit cell a=4.4187 b=4.4187 c=5.0617 alpha=90.00 beta=90.00 gamma=90.00
Positions (direct):
1 Sr 0.0000 0.0000 0.0000
2 Hf 0.5000 0.5000 0.0000
3 Sc 0.5000 0.5000 0.5000
4 N 0.0000 0.5000 0.5000
5 N 0.5000 0.0000 0.5000

Summary:
Space group: P4/mmm
Formation energy without anion corrections (eV/f.u.): 5.3


The following is a PBE calculation of a relaxed Hf2ScTa3N6 crystal, from Alexandria via LeMat-Bulk.

Unit cell a=5.4573 b=5.4573 c=5.4905 alpha=99.54 beta=99.54 gamma=120.01
Positions (direct):
1 Hf 0.1671 0.8329 0.0000
2 Hf 0.8329 0.1671 0.0000
3 Sc 0.5000 0.5000 0.0000
4 Ta 0.0000 0.0000 0.5000
5 Ta 0.3388 0.6612 0.5000
6 Ta 0.6612 0.3388 0.5000
7 N 0.0808 0.4157 0.7469
8 N 0.2470 0.2470 0.2457
9 N 0.4157 0.0808 0.7469
10 N 0.5843 0.9192 0.2531
11 N 0.7530 0.7530 0.7543
12 N 0.9192 0.5843 0.2531

Summary:
Space group: C2/m
Formation energy without anion corrections (eV/f.u.): -16.8